## Pm5Sm4Cd4 (GGA-PBE)

Data for a relaxed structure of Pm5Sm4Cd4.

Results
Its total magnetic moment is 0.0000 μB per atom. The crystal system is tetragonal. As for the energy of formation: -0.18 eV per atom. As for the total energy: -3.74 eV per atom.

Cell: 5.3146 9.0824 9.0824 Å, 85.09 72.99 72.99°
Last column: nearest neighbours and their distance in Å.
Atoms (fractional coordinates):
Pm 0.6830 0.9239 0.7101  3 Cd 3.23-3.24
Pm 0.6069 0.7101 0.0761  3 Cd 3.23-3.24
Pm 0.3170 0.0761 0.2899  3 Cd 3.23-3.24
Pm 0.0000 0.0000 0.0000  4 Cd 3.18
Pm 0.3931 0.2899 0.9239  3 Cd 3.23-3.24
Sm 0.9022 0.4870 0.7086  3 Cd 3.13-3.35
Sm 0.0978 0.5130 0.2914  3 Cd 3.13-3.35
Sm 0.3892 0.7086 0.5130  3 Cd 3.13-3.35
Sm 0.6108 0.2914 0.4870  3 Cd 3.13-3.35
Cd 0.7639 0.3417 0.1304  3 Sm 3.13-3.35, 4 Pm 3.18-3.24
Cd 0.2361 0.6583 0.8696  3 Sm 3.13-3.35, 4 Pm 3.18-3.24
Cd 0.8943 0.8696 0.3417  3 Sm 3.13-3.35, 4 Pm 3.18-3.24
Cd 0.1057 0.1304 0.6583  3 Sm 3.13-3.35, 4 Pm 3.18-3.24

## Pm2Sm3Cd3 (GGA-PBE)

Data for a relaxed structure of Pm2Sm3Cd3.

Results
Its total magnetic moment is 0.0001 μB per atom. The crystal system is orthorhombic. As for the energy of formation: -0.23 eV per atom. As for the total energy: -3.53 eV per atom. The calculation puts the excess energy over the best structure of this formula in the dataset at 0.00 eV per formula unit.

Cell: 3.8241 5.4683 11.7643 Å, 103.44 99.35 90.00°
Last column: nearest neighbours and their distance in Å.
Atoms (fractional coordinates):
Sm 0.3786 0.3786 0.7571  6 Cd 3.34, 2 Pm 3.73
Sm 0.5000 0.0000 0.0000  8 Cd 3.25-3.34
Sm 0.6214 0.6214 0.2429  6 Cd 3.34, 2 Pm 3.73
Pm 0.2664 0.7664 0.5329  2 Cd 3.26, 4 Pm 3.42
Pm 0.7336 0.2336 0.4671  2 Cd 3.26, 4 Pm 3.42
Cd 0.8834 0.8834 0.7669  6 Sm 3.25-3.34, 2 Pm 3.26
Cd 0.0000 0.5000 0.0000  8 Sm 3.34
Cd 0.1166 0.1166 0.2331  6 Sm 3.25-3.34, 2 Pm 3.26

## Pm2Sm4Cd (GGA-PBE)

Data for a relaxed structure of Pm2Sm4Cd.

Results
Its total magnetic moment is 0.0000 μB per atom. The crystal system is monoclinic. As for the energy of formation: 0.03 eV per atom. As for the total energy: -4.15 eV per atom.

Cell: 3.5502 8.6431 8.6312 Å, 116.68 101.87 90.00°
Last column: nearest neighbours and their distance in Å.
Atoms (fractional coordinates):
Sm 0.9194 0.2982 0.8388  5 Sm 3.30-3.63, 3 Pm 3.42-3.52, 1 Cd 3.42
Sm 0.0806 0.7018 0.1612  5 Sm 3.30-3.63, 3 Pm 3.42-3.52, 1 Cd 3.42
Sm 0.3715 0.6115 0.7429  2 Cd 3.53, 6 Sm 3.55-3.70, 3 Pm 3.60-3.69
Sm 0.6285 0.3885 0.2571  2 Cd 3.53, 6 Sm 3.55-3.70, 3 Pm 3.60-3.69
Pm 0.2177 0.1408 0.4355  1 Cd 3.30, 6 Sm 3.42-3.69, 4 Pm 3.55-3.56
Pm 0.7823 0.8592 0.5645  1 Cd 3.30, 6 Sm 3.42-3.69, 4 Pm 3.55-3.56
Cd 0.0000 0.0000 0.0000  2 Pm 3.30, 6 Sm 3.42-3.53, 2 Cd 3.55

## Pm3Sm3Cd (GGA-PBE)

Data for a relaxed structure of Pm3Sm3Cd.

Results
Its total magnetic moment is 0.0000 μB per atom. The crystal system is monoclinic. As for the energy of formation: -0.03 eV per atom. As for the total energy: -4.22 eV per atom.

Cell: 5.5528 10.1474 10.5545 Å, 130.07 90.00 90.00°
Last column: nearest neighbours and their distance in Å.
Atoms (fractional coordinates):
Sm 0.2500 0.0001 0.4156  1 Cd 3.17, 1 Pm 3.27, 2 Sm 3.30
Sm 0.7500 0.9999 0.5844  1 Cd 3.17, 1 Pm 3.27, 2 Sm 3.30
Sm 0.7500 0.6735 0.1369  3 Cd 3.33-3.36, 1 Sm 3.62, 3 Pm 3.63-3.67
Sm 0.2500 0.4503 0.5925  2 Cd 3.36, 5 Pm 3.47-3.73, 1 Sm 3.66
Sm 0.7500 0.5497 0.4075  2 Cd 3.36, 5 Pm 3.47-3.73, 1 Sm 3.66
Sm 0.2500 0.3265 0.8631  3 Cd 3.33-3.36, 1 Sm 3.62, 3 Pm 3.63-3.67
Pm 0.7500 0.1926 0.9793  4 Sm 3.27-3.63, 3 Pm 3.29-3.57
Pm 0.2500 0.8074 0.0207  4 Sm 3.27-3.63, 3 Pm 3.29-3.57
Pm 0.2500 0.8806 0.7017  1 Cd 3.45, 4 Sm 3.55-3.73, 5 Pm 3.61-3.83
Pm 0.7500 0.7611 0.8275  1 Cd 3.22, 5 Pm 3.29-3.61, 1 Sm 3.47
Pm 0.7500 0.1194 0.2983  1 Cd 3.45, 4 Sm 3.55-3.73, 5 Pm 3.61-3.83
Pm 0.2500 0.2389 0.1725  1 Cd 3.22, 5 Pm 3.29-3.61, 1 Sm 3.47
Cd 0.7500 0.3853 0.7248  6 Sm 3.17-3.36, 2 Pm 3.22-3.45
Cd 0.2500 0.6147 0.2752  6 Sm 3.17-3.36, 2 Pm 3.22-3.45